a | # GaSb2TeRu GGA-PBE relaxed
data_GaSb2TeRu
_symmetry_space_group_name_H-M 'P 4/m m m'
_symmetry_Int_Tables_number 123
_symmetry_space_group_name_Hall '-P 4 2'
_cell_length_a 5.187
_cell_length_b 5.187
_cell_length_c 5.295
_cell_angle_alpha 90.00
_cell_angle_beta 90.00
_cell_angle_gamma 90.00
loop_
_atom_site_label
_atom_site_type_symbol
_atom_site_fract_x
_atom_site_fract_y
_atom_site_fract_z
Ga1 Ga 0.000 0.000 0.000
Sb1 Sb 0.000 0.500 0.000
Te1 Te 0.000 0.000 0.500
Ru1 Ru 0.500 0.500 0.500
# calculated volume	142	Å³ per cell

b | # GaSb2TeRu GGA-PBE relaxed
data_GaSb2TeRu
_symmetry_space_group_name_H-M 'P 4/m m m'
_symmetry_Int_Tables_number 123
_symmetry_space_group_name_Hall '-P 4 2'
_cell_length_a 5.002
_cell_length_b 5.002
_cell_length_c 5.850
_cell_angle_alpha 90.00
_cell_angle_beta 90.00
_cell_angle_gamma 90.00
loop_
_atom_site_label
_atom_site_type_symbol
_atom_site_fract_x
_atom_site_fract_y
_atom_site_fract_z
Ga1 Ga 0.000 0.000 0.000
Sb1 Sb 0.000 0.500 0.500
Te1 Te 0.500 0.500 0.000
Ru1 Ru 0.500 0.500 0.500
# calculated volume	146	Å³ per cell

Energy ordering: b at the bottom, the next structure 832 meV/atom above.

a | # Sc4GaRu2 GGA-PBE relaxed
data_Sc4GaRu2
_symmetry_space_group_name_H-M 'P 4/m m m'
_symmetry_Int_Tables_number 123
_symmetry_space_group_name_Hall '-P 4 2'
_cell_length_a 4.537
_cell_length_b 4.537
_cell_length_c 6.529
_cell_angle_alpha 90.00
_cell_angle_beta 90.00
_cell_angle_gamma 90.00
loop_
_atom_site_label
_atom_site_type_symbol
_atom_site_fract_x
_atom_site_fract_y
_atom_site_fract_z
Sc1 Sc 0.000 0.500 0.243
Ga1 Ga 0.000 0.000 0.500
Ru1 Ru 0.000 0.000 0.000
Ru2 Ru 0.500 0.500 0.500
# calculated volume	134	Å³ per cell

b | # Sc4GaRu2 GGA-PBE relaxed
data_Sc4GaRu2
_symmetry_space_group_name_H-M 'I 4/m m m'
_symmetry_Int_Tables_number 139
_symmetry_space_group_name_Hall '-I 4 2'
_cell_length_a 5.046
_cell_length_b 5.046
_cell_length_c 12.595
_cell_angle_alpha 90.00
_cell_angle_beta 90.00
_cell_angle_gamma 90.00
loop_
_atom_site_label
_atom_site_type_symbol
_atom_site_fract_x
_atom_site_fract_y
_atom_site_fract_z
Sc1 Sc 0.000 0.000 0.210
Sc2 Sc 0.000 0.500 0.000
Ga1 Ga 0.000 0.000 0.000
Ru1 Ru 0.000 0.000 0.397
# calculated volume	321	Å³ per cell

Energy ordering: a at the bottom, the next structure 666 meV/atom above.